[1]
Tm2Sc2Tl: optimized geometry, PBE.

The space group is Pbam (No. 55) and the conventional cell measures 7.557, 10.899 and 3.388 Å, with angles of 90.00, 90.00 and 90.00 degrees. The distinct sites, in fractional coordinates, are Tm at (0.128, 0.213, 0.000), Sc at (0.176, 0.945, 0.500) and Tl at (0.000, 0.500, 0.000).

The energy relative to the lowest polymorph listed for this composition comes out at 3.1 kJ per mole of atoms.

***

[2]
MgNb2Pt9: optimized geometry, PBE.

The space group is P4/mmm (No. 123) and the conventional cell measures 4.001, 4.001 and 11.921 Å, with angles of 90.00, 90.00 and 90.00 degrees. The distinct sites, in fractional coordinates, are Mg at (0.000, 0.000, 0.000), Nb at (0.000, 0.000, 0.326), Pt at (0.000, 0.500, 0.171), Pt at (0.000, 0.500, 0.500), Pt at (0.500, 0.500, 0.000) and Pt at (0.500, 0.500, 0.335).

Its calculated total energy is -7.008 eV/atom.

***

[3]
Cs2LiUS6: optimized geometry, PBE.

The space group is C2/m (No. 12) and the conventional cell measures 10.397, 10.406 and 7.343 Å, with angles of 90.00, 134.88 and 90.00 degrees. The distinct sites, in fractional coordinates, are Cs at (0.000, 0.250, 0.000), Li at (0.000, 0.000, 0.500), U at (0.000, 0.500, 0.500), S at (0.000, 0.257, 0.500), S at (0.243, 0.500, 0.499) and S at (0.243, 0.500, 0.987).

The value obtained for the formation energy from raw total energies is -0.876 eV/atom.

***

[4]
GdHfTl2: optimized geometry, PBE.

The space group is P4/mmm (No. 123) and the conventional cell measures 4.777, 4.777 and 4.411 Å, with angles of 90.00, 90.00 and 90.00 degrees. The distinct sites, in fractional coordinates, are Gd at (0.000, 0.000, 0.000), Hf at (0.500, 0.500, 0.000) and Tl at (0.000, 0.500, 0.500).

The energy relative to the lowest polymorph listed for this composition comes out at 6.4 kJ per mole of atoms.

***

[5]
LuZrSc2: optimized geometry, PBE.

The space group is Fm-3m (No. 225) and the conventional cell measures 7.368, 7.368 and 7.368 Å, with angles of 90.00, 90.00 and 90.00 degrees. The distinct sites, in fractional coordinates, are Lu at (0.000, 0.000, 0.000), Zr at (0.000, 0.000, 0.500) and Sc at (0.250, 0.250, 0.250).

The energy relative to the lowest polymorph listed for this composition comes out at 8.4 kJ per mole of atoms.

***

[6]
KCuW4: optimized geometry, PBE.

The space group is F-43m (No. 216) and the conventional cell measures 7.691, 7.691 and 7.691 Å, with angles of 90.00, 90.00 and 90.00 degrees. The distinct sites, in fractional coordinates, are K at (0.000, 0.000, 0.000), Cu at (0.250, 0.250, 0.250) and W at (0.126, 0.126, 0.626).

Its calculated total energy is -8.167 eV/atom.

***

[7]
Ac4TeAs2S: optimized geometry, PBE.

The space group is I-4m2 (No. 119) and the conventional cell measures 6.433, 6.433 and 12.846 Å, with angles of 90.00, 90.00 and 90.00 degrees. The distinct sites, in fractional coordinates, are Ac at (0.000, 0.000, 0.240), Ac at (0.000, 0.500, 0.001), Te at (0.000, 0.000, 0.500), As at (0.000, 0.000, 0.000), As at (0.000, 0.500, 0.250) and S at (0.000, 0.500, 0.750).

The value obtained for the formation energy from raw total energies is -1.622 eV/atom.

***

[8]
KNa2SnS4: optimized geometry, PBE.

The space group is I-42m (No. 121) and the conventional cell measures 7.378, 7.378 and 8.303 Å, with angles of 90.00, 90.00 and 90.00 degrees. The distinct sites, in fractional coordinates, are K at (0.000, 0.000, 0.000), Na at (0.000, 0.500, 0.250), Sn at (0.000, 0.000, 0.500) and S at (0.193, 0.193, 0.660).

The value obtained for the formation energy from raw total energies is -0.755 eV/atom.

***

no.,DOS at the Fermi energy (states/eV per cell),M_tot (Bohr magnetons per cell)
1,13.79,0.001
2,3.43,0.000
3,18.26,0.006
4,3.59,8.195
5,36.72,5.326
6,20.01,0.000
7,5.04,0.000
8,18.78,2.144